(1)
Here is a PBEsol-optimized structure of RbTaTc3 from Alexandria. Energies are from SCAN.

Calculated values
formation energy: 39.82 kcal/mol of atoms

Structure (extended XYZ):
```
5
Lattice="4.8631 0.0000 0.0000 0.0000 4.8631 0.0000 0.0000 0.0000 4.8631" Properties=species:S:1:pos:R:3 pbc="T T T"
Rb 0.0000 0.0000 0.0000
Ta 2.4316 2.4316 2.4316
Tc 0.0000 2.4316 2.4316
Tc 2.4316 0.0000 2.4316
Tc 2.4316 2.4316 0.0000
```

=====

(2)
Here is a PBEsol-optimized structure of RbTaTe3 from Alexandria. Energies are from SCAN.

Structure (extended XYZ):
```
5
Lattice="5.4580 0.0000 0.0000 0.0000 5.4580 0.0000 0.0000 0.0000 5.4580" Properties=species:S:1:pos:R:3 pbc="T T T"
Rb 0.0000 0.0000 0.0000
Ta 2.7290 2.7290 2.7290
Te 0.0000 2.7290 2.7290
Te 2.7290 0.0000 2.7290
Te 2.7290 2.7290 0.0000
```

=====

(3)
Here is a PBEsol-optimized structure of RbTa2Tl from Alexandria. Energies are from SCAN.

Calculated values
formation energy: 42.14 kcal/mol of atoms

Structure (extended XYZ):
```
4
Lattice="0.0000 3.4790 3.4790 3.4790 0.0000 3.4790 3.4790 3.4790 0.0000" Properties=species:S:1:pos:R:3 pbc="T T T"
Rb 0.0000 0.0000 0.0000
Ta 1.7395 1.7395 1.7395
Ta 5.2185 5.2185 5.2185
Tl 3.4790 3.4790 3.4790
```

=====

(4)
Here is a PBEsol-optimized structure of Rb3TaW from Alexandria. Energies are from SCAN.

Calculated values
formation energy: 62.16 kcal/mol of atoms
E above lowest polymorph: 0.0 kJ per mole of atoms

Structure (extended XYZ):
```
5
Lattice="6.6099 0.0000 0.0000 0.0000 6.6099 0.0000 0.0000 0.0000 6.6099" Properties=species:S:1:pos:R:3 pbc="T T T"
Rb 0.0000 0.0000 3.3049
Rb 0.0000 3.3049 0.0000
Rb 3.3049 0.0000 0.0000
Ta 0.0000 0.0000 0.0000
W 3.3049 3.3049 3.3049
```

=====

(5)
Here is a PBEsol-optimized structure of RbZr2Ta from Alexandria. Energies are from SCAN.

Calculated values
formation energy: 29.64 kcal/mol of atoms

Structure (extended XYZ):
```
4
Lattice="0.0000 3.5728 3.5728 3.5728 0.0000 3.5728 3.5728 3.5728 0.0000" Properties=species:S:1:pos:R:3 pbc="T T T"
Rb 0.0000 0.0000 0.0000
Zr 1.7864 1.7864 1.7864
Zr 5.3593 5.3593 5.3593
Ta 3.5728 3.5728 3.5728
```

=====

(6)
Here is a PBEsol-optimized structure of RbZr3Ta from Alexandria. Energies are from SCAN.

Calculated values
formation energy: 53.31 kcal/mol of atoms

Structure (extended XYZ):
```
5
Lattice="4.8833 0.0000 0.0000 0.0000 4.8833 0.0000 0.0000 0.0000 4.8833" Properties=species:S:1:pos:R:3 pbc="T T T"
Rb 0.0000 0.0000 0.0000
Zr 0.0000 0.0000 2.4416
Zr 0.0000 2.4416 0.0000
Zr 2.4416 0.0000 0.0000
Ta 2.4416 2.4416 2.4416
```

=====

(7)
Here is a PBEsol-optimized structure of Rb3Tb from Alexandria. Energies are from SCAN.

Calculated values
formation energy: 14.89 kcal/mol of atoms

Structure (extended XYZ):
```
4
Lattice="-3.0422 3.0422 6.4990 3.0422 -3.0422 6.4990 3.0422 3.0422 -6.4990" Properties=species:S:1:pos:R:3 pbc="T T T"
Rb 0.0000 0.0000 0.0000
Rb 3.0422 0.0000 3.2495
Rb 0.0000 3.0422 3.2495
Tb 0.0000 0.0000 6.4990
```

=====

(8)
Here is a PBEsol-optimized structure of Rb3Tc from Alexandria. Energies are from SCAN.

Calculated values
formation energy: 26.75 kcal/mol of atoms

Structure (extended XYZ):
```
4
Lattice="-3.0573 3.0573 5.0509 3.0573 -3.0573 5.0509 3.0573 3.0573 -5.0509" Properties=species:S:1:pos:R:3 pbc="T T T"
Rb 0.0000 0.0000 0.0000
Rb 3.0573 0.0000 2.5255
Rb 0.0000 3.0573 2.5255
Tc 0.0000 0.0000 5.0509
```

=====

(9)
Here is a PBEsol-optimized structure of Rb3TcTe from Alexandria. Energies are from SCAN.

Structure (extended XYZ):
```
5
Lattice="6.8301 0.0000 0.0000 0.0000 6.8301 0.0000 0.0000 0.0000 6.8301" Properties=species:S:1:pos:R:3 pbc="T T T"
Rb 0.0000 0.0000 3.4151
Rb 0.0000 3.4151 0.0000
Rb 3.4151 0.0000 0.0000
Tc 3.4151 3.4151 3.4151
Te 0.0000 0.0000 0.0000
```

=====

(10)
Here is a PBEsol-optimized structure of RbY2TcTe from Alexandria. Energies are from SCAN.

Structure (extended XYZ):
```
5
Lattice="5.2208 0.0000 0.0000 0.0000 5.2208 0.0000 0.0000 0.0000 5.7219" Properties=species:S:1:pos:R:3 pbc="T T T"
Rb 0.0000 0.0000 0.0000
Y 0.0000 2.6104 0.0000
Y 2.6104 0.0000 0.0000
Tc 2.6104 2.6104 2.8609
Te 0.0000 0.0000 2.8609
```

=====

(11)
Here is a PBEsol-optimized structure of RbTcW2 from Alexandria. Energies are from SCAN.

Calculated values
formation energy: 47.95 kcal/mol of atoms

Structure (extended XYZ):
```
4
Lattice="0.0000 3.2447 3.2447 3.2447 0.0000 3.2447 3.2447 3.2447 0.0000" Properties=species:S:1:pos:R:3 pbc="T T T"
Rb 0.0000 0.0000 0.0000
Tc 3.2447 3.2447 3.2447
W 1.6224 1.6224 1.6224
W 4.8671 4.8671 4.8671
```

=====

(12)
Here is a PBEsol-optimized structure of RbZr3Tc from Alexandria. Energies are from SCAN.

Calculated values
formation energy: 55.39 kcal/mol of atoms

Structure (extended XYZ):
```
5
Lattice="4.8433 0.0000 0.0000 0.0000 4.8433 0.0000 0.0000 0.0000 4.8433" Properties=species:S:1:pos:R:3 pbc="T T T"
Rb 0.0000 0.0000 0.0000
Zr 0.0000 0.0000 2.4217
Zr 0.0000 2.4217 0.0000
Zr 2.4217 0.0000 0.0000
Tc 2.4217 2.4217 2.4217
```

=====

(13)
Here is a PBEsol-optimized structure of RbTe from Alexandria. Energies are from SCAN.

Structure (extended XYZ):
```
12
Lattice="9.9500 0.0000 0.0000 -4.9750 8.6169 0.0000 0.0000 0.0000 6.3034" Properties=species:S:1:pos:R:3 pbc="T T T"
Rb -1.6157 2.7985 0.0000
Rb -3.2742 5.6710 3.1517
Rb 3.2314 0.0000 0.0000
Rb 1.7008 2.9459 3.1517
Rb 6.5484 0.0000 3.1517
Rb 3.3593 5.8185 0.0000
Te 0.0000 0.0000 1.7404
Te 0.0000 0.0000 4.5630
Te 0.0000 5.7446 1.4167
Te 0.0000 5.7446 4.8867
Te 4.9750 2.8723 1.4167
Te 4.9750 2.8723 4.8867
```

=====

(14)
Here is a PBEsol-optimized structure of RbTe from Alexandria. Energies are from SCAN.

Structure (extended XYZ):
```
2
Lattice="0.0000 3.6400 3.6400 3.6400 0.0000 3.6400 3.6400 3.6400 0.0000" Properties=species:S:1:pos:R:3 pbc="T T T"
Rb 0.0000 0.0000 0.0000
Te 3.6400 3.6400 3.6400
```

=====

(15)
Here is a PBEsol-optimized structure of RbTe from Alexandria. Energies are from SCAN.

Structure (extended XYZ):
```
8
Lattice="5.7132 0.0000 0.0000 0.0000 10.9128 0.0000 0.0000 0.0000 4.8448" Properties=species:S:1:pos:R:3 pbc="T T T"
Rb 0.9870 1.4589 0.0000
Rb 1.8696 6.9153 0.0000
Rb 3.8436 3.9975 0.0000
Rb 4.7263 9.4539 0.0000
Te 0.8263 4.3005 2.4224
Te 2.0303 9.7569 2.4224
Te 3.6829 1.1559 2.4224
Te 4.8869 6.6123 2.4224
```

=====

(16)
Here is a PBEsol-optimized structure of Rb3Ti3Te11 from Alexandria. Energies are from SCAN.

Structure (extended XYZ):
```
68
Lattice="10.4918 0.0000 0.0000 0.0000 15.0498 0.0000 -9.7874 0.0000 14.6551" Properties=species:S:1:pos:R:3 pbc="T T T"
Rb -0.4509 1.6676 1.7991
Rb -5.3446 5.8573 9.1266
Rb 2.4769 9.3638 0.8281
Rb -2.4168 13.2109 8.1557
Rb -3.8743 0.3763 12.4989
Rb 1.0194 7.1486 5.1713
Rb -0.3150 7.9011 9.4837
Rb 4.5787 14.6735 2.1562
Rb 3.1212 1.8389 6.4994
Rb -1.7725 5.6860 13.8269
Rb 6.0490 9.1925 5.5285
Rb 1.1553 13.3822 12.8560
Ti -7.5887 2.8315 12.0638
Ti -2.6950 4.6934 4.7362
Ti 3.3750 3.2336 0.3230
Ti -1.5187 4.2912 7.6506
Ti -4.3459 10.5567 11.9943
Ti 0.5478 12.0180 4.6667
Ti 0.1566 3.0318 9.9884
Ti 5.0503 4.4931 2.6608
Ti 2.2231 10.7585 7.0045
Ti -2.6706 11.8161 14.3321
Ti 3.3994 10.3564 9.9189
Ti 8.2931 12.2183 2.5913
Te -3.8215 3.0263 6.7323
Te -8.7151 4.4985 14.0598
Te -5.7642 2.2864 10.0452
Te -0.8705 5.2385 2.7176
Te -1.0938 9.9231 3.8121
Te -5.9875 12.6515 11.1396
Te -6.3949 8.5257 11.8741
Te -1.5012 14.0490 4.5465
Te -4.3636 9.9868 9.2264
Te 0.5301 12.5878 1.8989
Te -7.1172 0.9047 14.0054
Te -2.2235 6.6202 6.6778
Te -0.3078 3.2837 5.3631
Te -5.2015 4.2412 12.6907
Te -0.6171 10.4205 6.5957
Te -5.5108 12.1542 13.9232
Te -3.3548 8.0040 11.3766
Te 1.5389 14.5707 4.0491
Te -0.7622 1.6024 7.7020
Te 4.1315 5.9225 0.3744
Te 2.7200 3.1505 2.8784
Te -2.1737 4.3744 10.2059
Te 2.8781 10.6754 4.4492
Te -2.0156 11.8993 11.7767
Te -3.4271 9.1273 14.2807
Te 1.4666 13.4474 6.9531
Te -0.8345 0.4791 10.6060
Te 4.0592 7.0458 3.2785
Te 6.2152 2.8956 0.7319
Te 1.3215 4.6293 8.0594
Te 5.9059 10.8086 1.9644
Te 1.0122 11.7661 9.2920
Te 2.9279 8.4296 7.9773
Te 7.8216 14.1451 0.6497
Te 0.1743 2.4619 12.7562
Te 5.0680 5.0629 5.4287
Te 2.2056 1.0008 10.1086
Te 7.0993 6.5241 2.7810
Te 6.6919 2.3983 3.5154
Te 1.7982 5.1266 10.8430
Te 1.5749 9.8113 11.9375
Te 6.4686 12.7633 4.6099
Te 9.4196 10.5512 0.5953
Te 4.5259 12.0234 7.9228
```

=====

(17)
Here is a PBEsol-optimized structure of Rb3TiTe from Alexandria. Energies are from SCAN.

Structure (extended XYZ):
```
5
Lattice="6.1105 0.0000 0.0000 0.0000 6.1105 0.0000 0.0000 0.0000 6.1105" Properties=species:S:1:pos:R:3 pbc="T T T"
Rb 0.0000 0.0000 3.0552
Rb 0.0000 3.0552 0.0000
Rb 3.0552 0.0000 0.0000
Ti 0.0000 0.0000 0.0000
Te 3.0552 3.0552 3.0552
```

=====

(18)
Here is a PBEsol-optimized structure of RbTl2Te2 from Alexandria. Energies are from SCAN.

Structure (extended XYZ):
```
10
Lattice="9.1472 0.0000 0.0000 0.0000 9.1472 0.0000 0.0000 0.0000 3.9425" Properties=species:S:1:pos:R:3 pbc="T T T"
Rb 0.0000 0.0000 0.0000
Rb 4.5736 4.5736 0.0000
Tl 1.1304 3.4432 0.0000
Tl 3.4432 8.0168 0.0000
Tl 5.7040 1.1304 0.0000
Tl 8.0168 5.7040 0.0000
Te 1.5954 6.1690 1.9712
Te 2.9782 1.5954 1.9712
Te 6.1690 7.5518 1.9712
Te 7.5518 2.9782 1.9712
```

=====

(19)
Here is a PBEsol-optimized structure of RbTl2Te2 from Alexandria. Energies are from SCAN.

Structure (extended XYZ):
```
5
Lattice="-2.9363 2.9363 5.1894 2.9363 -2.9363 5.1894 2.9363 2.9363 -5.1894" Properties=species:S:1:pos:R:3 pbc="T T T"
Rb 0.0000 0.0000 0.0000
Tl 0.0000 0.0000 3.6727
Tl 0.0000 0.0000 6.7061
Te 2.9363 0.0000 2.5947
Te 0.0000 2.9363 2.5947
```

=====

(20)
Here is a PBEsol-optimized structure of RbTlTe2 from Alexandria. Energies are from SCAN.

Structure (extended XYZ):
```
8
Lattice="-4.2181 4.2181 4.6641 4.2181 -4.2181 4.6641 4.2181 4.2181 -4.6641" Properties=species:S:1:pos:R:3 pbc="T T T"
Rb 0.0000 0.0000 0.0000
Rb 0.0000 4.2181 2.3321
Tl 4.2181 0.0000 2.3321
Tl 0.0000 0.0000 4.6641
Te 2.1090 -1.5060 3.4981
Te 2.7120 2.1090 1.1660
Te 2.1090 5.7241 -1.1660
Te 1.5060 2.1090 5.8301
```

=====

(21)
Here is a PBEsol-optimized structure of Rb2UTe3 from Alexandria. Energies are from SCAN.

Structure (extended XYZ):
```
12
Lattice="4.0251 -6.9648 0.0000 4.0251 6.9648 0.0000 -2.7237 0.0000 8.3609" Properties=species:S:1:pos:R:3 pbc="T T T"
Rb 0.0000 0.0000 0.0000
Rb 2.6632 4.8396 4.1804
Rb 2.6632 0.0000 4.1804
Rb 2.6632 -4.8396 4.1804
U 4.0251 2.3423 0.0000
U 4.0251 -2.3423 0.0000
Te 1.5224 2.6238 1.7275
Te 0.2969 0.0000 6.6770
Te 1.5224 -2.6238 1.7275
Te 3.8041 2.6238 6.6334
Te 5.0295 0.0000 1.6839
Te 3.8041 -2.6238 6.6334
```

=====

(22)
Here is a PBEsol-optimized structure of RbZrZnTe2 from Alexandria. Energies are from SCAN.

Structure (extended XYZ):
```
5
Lattice="5.5909 0.0000 0.0000 0.0000 5.5909 0.0000 0.0000 0.0000 5.3523" Properties=species:S:1:pos:R:3 pbc="T T T"
Rb 0.0000 0.0000 0.0000
Zr 2.7955 2.7955 2.6762
Zn 2.7955 2.7955 0.0000
Te 0.0000 2.7955 2.6762
Te 2.7955 0.0000 2.6762
```

=====

Final energy (computed, eV for the cell shown): -183.87, -200.88, -218.96, -185.01, -143.58, -167.86, -106.40, -92.64, -132.17, -139.67, -186.86, -135.89, -359.71, -58.97, -239.82, -2135.12, -112.93, -484.60, -242.29, -339.72, -525.78, -142.33